Entry 1:
A plane-wave DFT calculation with PBE-GGA was carried out for an optimized crystal structure of SmTmCdPb.

E   -61.226 eV for the cell shown
D(E_F)   0.848 states/eV/atom
ΔH_f (0 K)   -0.37 eV/atom
Mass density   9.7 g/cm³

Unit cell a=7.5804 b=7.5804 c=7.5804 alpha=90.00 beta=90.00 gamma=90.00
With the nearest neighbours (Å) after each atom.
Positions (direct):
1 Sm 0.0000 0.0000 0.0000  4 Pb 3.28, 4 Cd 3.28
2 Sm 0.0000 0.5000 0.5000  4 Pb 3.28, 4 Cd 3.28
3 Sm 0.5000 0.0000 0.5000  4 Pb 3.28, 4 Cd 3.28
4 Sm 0.5000 0.5000 0.0000  4 Pb 3.28, 4 Cd 3.28
5 Tm 0.0000 0.0000 0.5000  4 Cd 3.28, 4 Pb 3.28
6 Tm 0.0000 0.5000 0.0000  4 Cd 3.28, 4 Pb 3.28
7 Tm 0.5000 0.0000 0.0000  4 Cd 3.28, 4 Pb 3.28
8 Tm 0.5000 0.5000 0.5000  4 Cd 3.28, 4 Pb 3.28
9 Cd 0.2500 0.2500 0.7500  4 Sm 3.28, 4 Tm 3.28
10 Cd 0.2500 0.7500 0.2500  4 Sm 3.28, 4 Tm 3.28
11 Cd 0.7500 0.2500 0.2500  4 Sm 3.28, 4 Tm 3.28
12 Cd 0.7500 0.7500 0.7500  4 Sm 3.28, 4 Tm 3.28
13 Pb 0.2500 0.2500 0.2500  4 Tm 3.28, 4 Sm 3.28
14 Pb 0.2500 0.7500 0.7500  4 Tm 3.28, 4 Sm 3.28
15 Pb 0.7500 0.2500 0.7500  4 Tm 3.28, 4 Sm 3.28
16 Pb 0.7500 0.7500 0.2500  4 Tm 3.28, 4 Sm 3.28

Entry 2:
A plane-wave DFT calculation with PBE-GGA was carried out for an optimized crystal structure of SmZrCdPb.

E   -74.252 eV for the cell shown
D(E_F)   1.037 states/eV/atom
ΔH_f (0 K)   -0.17 eV/atom
Mass density   9.1 g/cm³

Unit cell a=7.4169 b=7.4169 c=7.4169 alpha=90.00 beta=90.00 gamma=90.00
With the nearest neighbours (Å) after each atom.
Positions (direct):
1 Sm 0.0000 0.0000 0.0000  4 Cd 3.21, 4 Pb 3.21
2 Sm 0.0000 0.5000 0.5000  4 Cd 3.21, 4 Pb 3.21
3 Sm 0.5000 0.0000 0.5000  4 Cd 3.21, 4 Pb 3.21
4 Sm 0.5000 0.5000 0.0000  4 Cd 3.21, 4 Pb 3.21
5 Zr 0.0000 0.0000 0.5000  4 Cd 3.21, 4 Pb 3.21
6 Zr 0.0000 0.5000 0.0000  4 Cd 3.21, 4 Pb 3.21
7 Zr 0.5000 0.0000 0.0000  4 Cd 3.21, 4 Pb 3.21
8 Zr 0.5000 0.5000 0.5000  4 Cd 3.21, 4 Pb 3.21
9 Cd 0.2500 0.2500 0.7500  4 Zr 3.21, 4 Sm 3.21
10 Cd 0.2500 0.7500 0.2500  4 Zr 3.21, 4 Sm 3.21
11 Cd 0.7500 0.2500 0.2500  4 Zr 3.21, 4 Sm 3.21
12 Cd 0.7500 0.7500 0.7500  4 Zr 3.21, 4 Sm 3.21
13 Pb 0.2500 0.2500 0.2500  4 Zr 3.21, 4 Sm 3.21
14 Pb 0.2500 0.7500 0.7500  4 Zr 3.21, 4 Sm 3.21
15 Pb 0.7500 0.2500 0.7500  4 Zr 3.21, 4 Sm 3.21
16 Pb 0.7500 0.7500 0.2500  4 Zr 3.21, 4 Sm 3.21